An optimized crystal structure of SmCdCl. Source: Alexandria, functional PBE-GGA.

Formation energy (no corrections)   -0.903 eV/atom
Electronic total energy   -3.3963 eV per atom
Total magnetic moment   0.000 μB per formula unit

Unit cell a=7.6622 b=8.5020 c=15.3241 alpha=154.40 beta=152.25 gamma=25.71
Last column: nearest neighbours and their distance in Å.
Atoms (fractional coordinates):
Cl 0.5018 0.4211 0.8963  3 Sm 2.87, 1 Cd 3.00
Cl 0.5019 0.4212 0.3964  3 Sm 2.87, 1 Cd 3.00
Cd 0.2264 0.5555 0.5293  1 Cl 3.00, 3 Sm 3.23-3.24
Cd 0.2258 0.5550 0.0288  1 Cl 3.00, 3 Sm 3.23-3.24
Sm 0.3411 0.9998 0.4745  3 Cl 2.87
Sm 0.3410 0.9999 0.9745  3 Cl 2.87

An optimized crystal structure of Pm4Bi3As. Source: Alexandria, functional PBE-GGA.

Electronic total energy   -5.4692 eV per atom
Total magnetic moment   0.000 μB per formula unit

Unit cell a=4.4824 b=7.7955 c=7.7955 alpha=109.31 beta=90.00 gamma=90.00
Last column: nearest neighbours and their distance in Å.
Atoms (fractional coordinates):
Pm 0.5000 0.7580 0.2420  1 As 3.08, 5 Bi 3.18-3.28
Pm 0.0000 0.7651 0.7651  2 As 3.08, 4 Bi 3.18-3.28
Pm 0.5000 0.2420 0.7580  1 As 3.08, 5 Bi 3.18-3.28
Pm 0.0000 0.2349 0.2349  2 As 3.08, 4 Bi 3.18-3.28
Bi 0.5000 0.5000 0.5000  6 Pm 3.28
Bi 0.0000 0.0000 0.5000  6 Pm 3.18
Bi 0.0000 0.5000 0.0000  6 Pm 3.18
As 0.5000 0.0000 0.0000  6 Pm 3.08

An optimized crystal structure of La2BiRh4. Source: Alexandria, functional PBE-GGA.

Electronic total energy   -6.1987 eV per atom
Total magnetic moment   0.000 μB per formula unit

Unit cell a=5.0812 b=5.0812 c=7.7974 alpha=70.98 beta=70.98 gamma=90.00
Last column: nearest neighbours and their distance in Å.
Atoms (fractional coordinates):
Rh 0.5000 0.0000 0.0000  2 Bi 2.54
Rh 0.0000 0.5000 0.0000  2 Bi 2.54
Rh 0.8070 0.8070 0.3859  1 La 2.31
Rh 0.1930 0.1930 0.6141  1 La 2.31
La 0.6402 0.6402 0.7197  1 Rh 2.31
La 0.3598 0.3598 0.2803  1 Rh 2.31
Bi 0.0000 0.0000 0.0000  6 Rh 2.54-2.67

An optimized crystal structure of Ca2FeN. Source: Alexandria, functional PBE-GGA.

Formation energy (no corrections)   -0.384 eV/atom
Offset from the most stable computed form   0.0 kJ/mol of atoms
Electronic total energy   -5.5817 eV per atom
Total magnetic moment   0.000 μB per formula unit

Unit cell a=9.7517 b=9.7517 c=7.1206 alpha=46.78 beta=46.78 gamma=90.00
Last column: nearest neighbours and their distance in Å.
Atoms (fractional coordinates):
Ca 0.3206 0.6250 0.2500  2 N 2.53, 2 Fe 2.83
Ca 0.8750 0.6794 0.7500  2 N 2.53, 2 Fe 2.83
Ca 0.3750 0.5706 0.7500  2 N 2.53, 2 Fe 2.83
Ca 0.4294 0.1250 0.2500  2 N 2.53, 2 Fe 2.83
Fe 0.7500 0.2500 0.5000  2 N 1.78
Fe 0.0000 0.0000 0.0000  2 N 1.78
N 0.5000 0.5000 0.0000  2 Fe 1.78
N 0.2500 0.7500 0.5000  2 Fe 1.78

An optimized crystal structure of LiAc2NpS5. Source: Alexandria, functional PBE-GGA.

Formation energy (no corrections)   -1.795 eV/atom
Electronic total energy   -6.6511 eV per atom
Total magnetic moment   3.957 μB per formula unit

Unit cell a=4.1635 b=8.7685 c=12.2030 alpha=90.00 beta=90.00 gamma=103.73
Last column: nearest neighbours and their distance in Å.
Atoms (fractional coordinates):
Li 0.4822 0.9644 0.4776  3 S 2.37-2.41
Li 0.5178 0.0356 0.9776  3 S 2.37-2.41
S 0.9527 0.9054 0.5601  2 Li 2.37
S 0.4997 0.9994 0.7818  1 Li 2.41
S 0.6927 0.3853 0.8548  2 Np 2.77
S 0.7099 0.4199 0.1550  2 Np 2.78, 3 Ac 3.09-3.10
S 0.3073 0.6147 0.3548  2 Np 2.77
S 0.6382 0.2763 0.5009  1 Li 2.67, 1 Np 2.78
S 0.5003 0.0006 0.2818  1 Li 2.41
S 0.0473 0.0946 0.0601  2 Li 2.37
S 0.3618 0.7237 0.0009  1 Li 2.67, 1 Np 2.78
S 0.2901 0.5801 0.6550  2 Np 2.78, 3 Ac 3.09-3.10
Np 0.1985 0.3969 0.0049  6 S 2.66-2.78
Np 0.8015 0.6031 0.5049  6 S 2.66-2.78
Ac 0.1102 0.2205 0.6872  8 S 3.04-3.24
Ac 0.8742 0.7484 0.8016  8 S 2.99-3.24
Ac 0.8898 0.7795 0.1872  8 S 3.04-3.24
Ac 0.1258 0.2516 0.3016  8 S 2.99-3.24

An optimized crystal structure of Er2CoPd. Source: Alexandria, functional PBE-GGA.

Electronic total energy   -5.3259 eV per atom
Total magnetic moment   0.000 μB per formula unit

Unit cell a=3.4716 b=3.4716 c=8.8942 alpha=78.75 beta=78.75 gamma=60.00
Last column: nearest neighbours and their distance in Å.
Atoms (fractional coordinates):
Pd 0.0000 0.0000 0.0000  2 Er 2.64
Co 0.5000 0.5000 0.5000  6 Er 2.62
Er 0.8983 0.8983 0.3050  3 Co 2.62, 1 Pd 2.64
Er 0.1017 0.1017 0.6950  3 Co 2.62, 1 Pd 2.64

An optimized crystal structure of Sm2PuMoN4. Source: Alexandria, functional PBE-GGA.

Formation energy (no corrections)   -0.940 eV/atom
Electronic total energy   -9.4278 eV per atom
Total magnetic moment   5.364 μB per formula unit

Unit cell a=3.4124 b=6.2107 c=12.2498 alpha=90.00 beta=90.00 gamma=105.95
Last column: nearest neighbours and their distance in Å.
Atoms (fractional coordinates):
N 0.4423 0.8846 0.7500  2 Mo 2.17
N 0.0000 0.0000 0.0000  4 Sm 2.36
N 0.0000 0.0000 0.5000  4 Sm 2.36
N 0.7310 0.4620 0.8715  1 Mo 1.90
N 0.2690 0.5380 0.3715  1 Mo 1.90
N 0.7310 0.4620 0.6285  1 Mo 1.90
N 0.5577 0.1154 0.2500  2 Mo 2.17
N 0.2690 0.5380 0.1285  1 Mo 1.90
Sm 0.6300 0.2601 0.0400  5 N 2.36-2.62
Sm 0.3700 0.7399 0.5400  5 N 2.36-2.62
Sm 0.6300 0.2601 0.4600  5 N 2.36-2.62
Sm 0.3700 0.7399 0.9600  5 N 2.36-2.62
Pu 0.9104 0.8208 0.2500  2 N 2.45
Pu 0.0896 0.1792 0.7500  2 N 2.45
Mo 0.1701 0.3402 0.2500  2 N 1.90
Mo 0.8299 0.6598 0.7500  2 N 1.90

An optimized crystal structure of AcAsS3. Source: Alexandria, functional PBE-GGA.

Formation energy (no corrections)   -0.965 eV/atom
Offset from the most stable computed form   20.6 kJ/mol of atoms
Electronic total energy   -5.1930 eV per atom
Total magnetic moment   0.000 μB per formula unit

Unit cell a=4.8584 b=4.8584 c=4.8584 alpha=90.00 beta=90.00 gamma=90.00
Last column: nearest neighbours and their distance in Å.
Atoms (fractional coordinates):
Ac 0.5000 0.5000 0.5000  12 S 3.44
S 0.5000 0.0000 0.0000  2 As 2.43
S 0.0000 0.0000 0.5000  2 As 2.43
S 0.0000 0.5000 0.0000  2 As 2.43
As 0.0000 0.0000 0.0000  6 S 2.43

An optimized crystal structure of Ba2CaTlPd. Source: Alexandria, functional PBE-GGA.

Offset from the most stable computed form   8.5 kJ/mol of atoms
Electronic total energy   -2.9000 eV per atom
Total magnetic moment   0.000 μB per formula unit

Unit cell a=6.1974 b=6.1974 c=5.4175 alpha=90.00 beta=90.00 gamma=90.00
Last column: nearest neighbours and their distance in Å.
Atoms (fractional coordinates):
Ba 0.5000 0.0000 0.0000  2 Pd 3.10
Ba 0.0000 0.5000 0.0000  2 Pd 3.10
Ca 0.5000 0.5000 0.5000  8 Ba 4.12, 4 Tl 4.38
Tl 0.0000 0.0000 0.5000  2 Pd 2.71
Pd 0.0000 0.0000 0.0000  2 Tl 2.71

An optimized crystal structure of SiTeP. Source: Alexandria, functional PBE-GGA.

Formation energy (no corrections)   0.179 eV/atom
Offset from the most stable computed form   22.2 kJ/mol of atoms
Electronic total energy   -4.4795 eV per atom
Total magnetic moment   0.000 μB per formula unit

Unit cell a=3.7627 b=3.7627 c=4.9428 alpha=90.00 beta=90.00 gamma=120.00
Last column: nearest neighbours and their distance in Å.
Atoms (fractional coordinates):
Te 0.3333 0.6667 0.6482  3 Si 2.80, 3 P 2.98
P 0.0000 0.0000 0.0607  3 Si 2.45
Si 0.6667 0.3333 0.2912  3 P 2.45

An optimized crystal structure of LiCr2Os. Source: Alexandria, functional PBE-GGA.

Electronic total energy   -7.7066 eV per atom
Total magnetic moment   0.810 μB per formula unit

Unit cell a=2.5240 b=3.9880 c=5.0097 alpha=90.00 beta=90.00 gamma=90.00
Last column: nearest neighbours and their distance in Å.
Atoms (fractional coordinates):
Li 0.0000 0.0000 0.4963  6 Cr 2.50-2.64, 2 Li 2.52, 4 Os 2.67
Cr 0.0000 0.0000 0.9967  2 Li 2.50-2.51, 6 Cr 2.52-2.71, 4 Os 2.67
Cr 0.5000 0.5000 0.2610  2 Os 2.43-2.58, 6 Cr 2.52-2.71, 4 Li 2.64
Os 0.5000 0.5000 0.7460  6 Cr 2.43-2.67, 2 Os 2.52, 4 Li 2.67

An optimized crystal structure of Cs2SeI. Source: Alexandria, functional PBE-GGA.

Formation energy (no corrections)   -0.972 eV/atom
Offset from the most stable computed form   21.8 kJ/mol of atoms
Electronic total energy   -2.6576 eV per atom
Total magnetic moment   1.000 μB per formula unit

Unit cell a=6.4202 b=6.4202 c=6.4202 alpha=60.00 beta=60.00 gamma=60.00
Last column: nearest neighbours and their distance in Å.
Atoms (fractional coordinates):
Cs 0.2500 0.2500 0.2500  4 I 3.93, 4 Se 3.93
Cs 0.7500 0.7500 0.7500  4 I 3.93, 4 Se 3.93
Se 0.0000 0.0000 0.0000  8 Cs 3.93
I 0.5000 0.5000 0.5000  8 Cs 3.93